# 1
## CsNa2Au2 (PBEsol)

Data for crystalline CsNa2Au2 at its relaxed geometry.

**D(E_F)**: 1.438 states/eV/f.u.
**Distance to the lowest polymorph of the same formula**: 0 meV/atom
**DFT total energy**: -0.092 hartree per atom
**Magnetization**: 0.00 μB per formula unit

Cell lengths 4.7651, 4.7651, 12.9821 Å; angles 90.00, 90.00, 90.00 degrees
Closest atoms and distances in Å follow each position.
Space group I4/mmm (No. 139)
One atom of each set of equivalent atoms:
1 Cs 0.0000 0.0000 0.0000 x2  8 Au 3.63, 8 Na 4.03
2 Na 0.0000 0.5000 0.2500 x4  4 Au 3.04, 4 Na 3.37
3 Au 0.0000 0.0000 0.3952 x4  1 Au 2.72, 4 Na 3.04

***

# 2
## LaAgAs2 (PBEsol)

Data for crystalline LaAgAs2 at its relaxed geometry.

**D(E_F)**: 0.516 states/eV/f.u.
**DFT total energy**: -0.205 hartree per atom
**Magnetization**: 0.00 μB per formula unit

Cell lengths 5.8005, 20.9277, 5.7675 Å; angles 90.00, 90.00, 90.00 degrees
Closest atoms and distances in Å follow each position.
Space group Pbcm (No. 57)
One atom of each set of equivalent atoms:
1 La 0.0126 0.1150 0.2500 x4  8 As 3.06-3.27
2 La 0.4859 0.6194 0.7500 x4  8 As 3.03-3.22
3 Ag 0.2337 0.7500 0.0000 x4  4 As 2.72, 4 Ag 2.88-2.92
4 Ag 0.2632 0.2500 0.0000 x4  4 As 2.72, 4 Ag 2.88-2.92
5 As 0.0146 0.1637 0.7500 x4  4 Ag 2.72, 2 La 3.04-3.05
6 As 0.2777 0.0009 0.5292 x8  2 As 2.55-2.60
7 As 0.4860 0.6646 0.2500 x4  4 Ag 2.72, 2 La 3.03

***

# 3
## Ba3LaZnReWO12 (PBEsol)

Data for crystalline Ba3LaZnReWO12 at its relaxed geometry.

**D(E_F)**: 0.000 states/eV/f.u.
**DFT total energy**: -0.290 hartree per atom
**Magnetization**: 0.00 μB per formula unit

Cell lengths 5.6598, 5.6598, 27.4739 Å; angles 90.00, 90.00, 120.00 degrees
Closest atoms and distances in Å follow each position.
Space group R3m (No. 160, hexagonal axes)
One atom of each set of equivalent atoms:
1 Ba 0.0000 0.0000 0.0000 x3  12 O 2.80-2.84
2 Ba 0.0000 0.0000 0.1612 x3  12 O 2.70-2.95
3 Ba 0.0000 0.0000 0.5842 x3  12 O 2.81-2.95
4 La 0.0000 0.0000 0.4114 x3  9 O 2.55-2.83
5 Zn 0.0000 0.0000 0.2907 x3  6 O 2.08-2.13
6 Re 0.0000 0.0000 0.8706 x3  6 O 1.83-1.97
7 W 0.0000 0.0000 0.7162 x3  6 O 1.86-2.01
8 O 0.9999 0.4999 0.0071 x9  1 W 2.01, 1 Zn 2.13
9 O 0.0064 0.5032 0.4172 x9  1 W 1.86
10 O 0.0184 0.5092 0.5815 x9  1 Re 1.97, 1 Zn 2.08
11 O 0.1736 0.3473 0.5026 x9  1 Re 1.83

***

# 4
## SnGe3N (PBEsol)

Data for crystalline SnGe3N at its relaxed geometry.

**D(E_F)**: 3.474 states/eV/f.u.
**DFT total energy**: -0.131 hartree per atom
**Magnetization**: 2.14 μB per formula unit

Cell lengths 5.2825, 5.2825, 5.2825 Å; angles 90.00, 90.00, 90.00 degrees
Closest atoms and distances in Å follow each position.
Space group Pm-3m (No. 221)
One atom of each set of equivalent atoms:
1 Sn 0.0000 0.0000 0.0000 x1  6 Ge 2.64
2 Ge 0.0000 0.0000 0.5000 x3  2 Sn 2.64
3 N 0.5000 0.5000 0.5000 x1  12 Ge 3.74

***

# 5
## Sr10P6BrClO24 (PBEsol)

Data for crystalline Sr10P6BrClO24 at its relaxed geometry.

**D(E_F)**: 0.000 states/eV/f.u.
**DFT total energy**: -0.267 hartree per atom
**Magnetization**: 0.00 μB per formula unit

Cell lengths 9.9003, 9.9003, 7.1718 Å; angles 90.00, 90.00, 120.00 degrees
Closest atoms and distances in Å follow each position.
Space group P-3 (No. 147)
One atom of each set of equivalent atoms:
1 Sr 0.0070 0.2593 0.2537 x6  4 O 2.41-2.64
2 Sr 0.3333 0.6667 0.0005 x2  9 O 2.58-2.82
3 Sr 0.3333 0.6667 0.4978 x2  6 O 2.56-2.57
4 P 0.0359 0.4075 0.7513 x6  4 O 1.55-1.56
5 Br 0.0000 0.0000 0.0000 x1  6 Sr 3.12, 6 O 3.24
6 Cl 0.0000 0.0000 0.5000 x1  6 Sr 3.09, 6 O 3.20
7 O 0.0904 0.3540 0.5777 x6  1 P 1.55
8 O 0.0915 0.3593 0.9280 x6  1 P 1.55
9 O 0.1228 0.5892 0.7473 x6  1 P 1.56
10 O 0.1436 0.6617 0.2499 x6  1 P 1.55

***

# 6
## MoCl2 (PBEsol)

Data for crystalline MoCl2 at its relaxed geometry.

**D(E_F)**: 1.279 states/eV/f.u.
**Distance to the lowest polymorph of the same formula**: 472 meV/atom
**DFT total energy**: -0.212 hartree per atom
**Magnetization**: 0.00 μB per formula unit

Cell lengths 3.0754, 15.7542, 4.8471 Å; angles 90.00, 90.00, 90.00 degrees
Closest atoms and distances in Å follow each position.
Space group Cmcm (No. 63)
One atom of each set of equivalent atoms:
1 Mo 0.0000 0.2163 0.2500 x4  6 Cl 2.42-2.55
2 Cl 0.0000 0.1650 0.7500 x4  4 Mo 2.42-2.55
3 Cl 0.0000 0.4043 0.7500 x4  2 Mo 2.44

***

# 7
## LaMgOs2 (PBEsol)

Data for crystalline LaMgOs2 at its relaxed geometry.

**D(E_F)**: 2.696 states/eV/f.u.
**DFT total energy**: -0.271 hartree per atom
**Magnetization**: 0.00 μB per formula unit

Cell lengths 3.1142, 4.8374, 9.1775 Å; angles 90.00, 90.00, 90.00 degrees
Closest atoms and distances in Å follow each position.
Space group Cmmm (No. 65)
One atom of each set of equivalent atoms:
1 La 0.0000 0.0000 0.0000 x2  4 Os 2.86, 6 La 2.88-3.11
2 Mg 0.0000 0.0000 0.5000 x2  4 Os 2.68, 4 Mg 2.88
3 Os 0.0000 0.5000 0.2620 x4  2 Mg 2.68, 2 La 2.86, 4 Os 2.88

***

# 8
## CeGa2Pd2 (PBEsol)

Data for crystalline CeGa2Pd2 at its relaxed geometry.

**D(E_F)**: 6.647 states/eV/f.u.
**DFT total energy**: -0.213 hartree per atom
**Magnetization**: 0.61 μB per formula unit

Cell lengths 4.1791, 4.1791, 10.4652 Å; angles 90.00, 90.00, 90.00 degrees
Closest atoms and distances in Å follow each position.
Space group P4/nmm (No. 129, origin choice 2)
One atom of each set of equivalent atoms:
1 Ce 0.2500 0.2500 0.2441 x2  8 Pd 3.17-3.40, 8 Ga 3.23-3.30
2 Ga 0.2500 0.2500 0.6310 x2  5 Pd 2.45-2.50
3 Ga 0.2500 0.7500 0.0000 x2  4 Pd 2.52
4 Pd 0.2500 0.2500 0.8649 x2  5 Ga 2.45-2.52
5 Pd 0.2500 0.7500 0.5000 x2  4 Ga 2.50